DFT (GGA+U) results for a relaxed InSnMoO6 crystal.

Density = 6.238 Mg/m³
Size of the total moment = 1.00 μB/f.u.
Calculated total energy = -0.4750 Ry per atom

Structure (POSCAR):
```
InSnMoO6
1.0
-0.3497 2.7220 -3.9442
-1.8465 -3.7258 -2.4076
-9.0291 2.7370 2.6895
O Mo In Sn
12 2 2 2
direct
0.3149 0.3149 0.6614
0.6955 0.6955 0.3437
0.7902 0.2098 0.4938
0.2902 0.2902 0.9938
0.1851 0.8149 0.1614
0.7098 0.7098 0.9938
0.8045 0.1955 0.8437
0.6851 0.6851 0.6614
0.1955 0.8045 0.8437
0.3045 0.3045 0.3437
0.2098 0.7902 0.4938
0.8149 0.1851 0.1614
0.5000 0.5000 0.5010
0.0000 0.0000 0.0010
0.0000 0.0000 0.6673
0.5000 0.5000 0.1673
0.0000 0.0000 0.3338
0.5000 0.5000 0.8338
```